[1]
! RbMn2CuCl7 (PBE, optimized geometry); values from VASP
! Space-group type = I-4m2, No. 119
&SYSTEM
  ibrav = 0, nat = 11, ntyp = 4
/
ATOMIC_SPECIES
Rb 85.47 Rb.upf
Cl 35.45 Cl.upf
Cu 63.55 Cu.upf
Mn 54.94 Mn.upf
CELL_PARAMETERS angstrom
4.9697 0.0000 0.0000
0.0000 4.9697 0.0000
-2.4849 -2.4849 10.4459
ATOMIC_POSITIONS angstrom
Rb 2.4849 2.4849 0.0000
Cl 0.0000 2.4849 7.8666
Cl 2.4849 0.0000 2.3550
Cl 2.4849 2.4849 5.5030
Cl 0.0000 2.4849 2.5793
Cl 0.0000 0.0000 0.0000
Cl 2.4849 0.0000 8.0908
Cl 0.0000 0.0000 4.9429
Cu 0.0000 2.4849 5.2229
Mn 0.0000 0.0000 2.5450
Mn 2.4849 2.4849 7.9009



[2]
! Rb2MnCu2Cl6 (PBE, optimized geometry); values from VASP
! Space-group type = C2/m, No. 12
&SYSTEM
  ibrav = 0, nat = 11, ntyp = 4
/
ATOMIC_SPECIES
Cu 63.55 Cu.upf
Mn 54.94 Mn.upf
Rb 85.47 Rb.upf
Cl 35.45 Cl.upf
CELL_PARAMETERS angstrom
7.2437 0.0000 0.0000
-3.6218 6.3183 -0.0698
0.0000 -3.7221 6.4133
ATOMIC_POSITIONS angstrom
Cu 0.0000 -0.0320 1.3875
Cu 3.6218 2.6283 4.9560
Mn 3.6218 -1.8610 3.2066
Rb 0.0000 0.4709 5.0538
Rb 3.6218 2.1254 1.2897
Cl -1.7294 5.0762 1.3958
Cl 0.0000 2.1134 2.0654
Cl 1.7294 5.0762 1.3958
Cl 5.3513 -2.4799 4.9477
Cl 1.8924 -2.4799 4.9477
Cl 3.6218 0.4829 4.2781



[3]
! RbMn3Cu4Cl12 (PBE, optimized geometry); values from VASP
! Space-group type = R32, No. 155
&SYSTEM
  ibrav = 0, nat = 20, ntyp = 4
/
ATOMIC_SPECIES
Cl 35.45 Cl.upf
Cu 63.55 Cu.upf
Mn 54.94 Mn.upf
Rb 85.47 Rb.upf
CELL_PARAMETERS angstrom
8.4093 -0.1786 -0.2481
-2.1995 8.1185 -0.2481
-2.1995 -2.8123 7.6199
ATOMIC_POSITIONS angstrom
Cl 0.2387 3.9454 3.5619
Cl 6.3851 3.6512 0.3135
Cl -2.8653 3.1212 5.4653
Cl 3.7196 5.8267 -0.1891
Cl -2.3748 5.9894 3.5619
Cl 0.2907 7.1565 1.6584
Cl 2.0052 -1.9491 6.8102
Cl 3.7716 3.0024 2.2518
Cl 4.7588 -1.7709 4.6946
Cl -0.7485 0.1137 7.3129
Cl 6.8757 0.9358 2.4291
Cl 2.0052 0.7438 4.8719
Cu -2.3721 1.4771 6.8083
Cu 2.0052 7.0740 0.3154
Cu 2.0052 2.5638 3.5619
Cu 6.3824 -0.8596 3.5619
Mn 2.3302 -1.6878 4.2604
Mn 3.8796 3.3641 -0.2481
Mn -2.1995 3.4513 3.1114
Rb 0.0000 0.0000 0.0000



[4]
! Rb3Mn2CuCl9 (PBE, optimized geometry); values from VASP
! Space-group type = P-3m1, No. 164
&SYSTEM
  ibrav = 0, nat = 15, ntyp = 4
/
ATOMIC_SPECIES
Rb 85.47 Rb.upf
Cu 63.55 Cu.upf
Cl 35.45 Cl.upf
Mn 54.94 Mn.upf
CELL_PARAMETERS angstrom
-5.3076 -1.7186 4.3400
4.9730 -4.7731 -1.5641
4.6871 2.6599 6.7854
ATOMIC_POSITIONS angstrom
Rb 4.6568 -1.9897 4.9072
Rb 0.0000 0.0000 0.0000
Rb -0.3043 -1.8421 4.6542
Cu 2.3435 1.3299 3.3927
Cl 4.8104 -3.3791 1.6765
Cl -0.4580 -0.4528 7.8848
Cl 2.1653 -4.2355 3.8393
Cl 2.0203 -2.8315 7.1054
Cl -0.1673 -3.2459 1.3879
Cl 2.3321 -1.0004 2.4560
Cl 2.1871 0.4037 5.7220
Cl 2.4865 -2.3866 -0.7820
Cl -2.6538 -0.8593 2.1700
Mn 2.3651 -3.2902 1.5896
Mn 1.9873 -0.5417 7.9717



[5]
! MnCu2SCl (PBE, optimized geometry); values from VASP
! Space-group type = P4/mmm, No. 123
&SYSTEM
  ibrav = 0, nat = 5, ntyp = 4
/
ATOMIC_SPECIES
Cu 63.55 Cu.upf
Mn 54.94 Mn.upf
Cl 35.45 Cl.upf
S 32.06 S.upf
CELL_PARAMETERS angstrom
4.8854 0.0000 0.0000
0.0000 4.1273 0.0000
0.0000 0.0000 4.8854
ATOMIC_POSITIONS angstrom
Cu 2.4427 0.0000 0.0000
Cu 0.0000 0.0000 2.4427
Mn 0.0000 0.0000 0.0000
Cl 2.4427 2.0637 2.4427
S 0.0000 2.0637 0.0000



[6]
! MnCuS2Cl (PBE, optimized geometry); values from VASP
! Space-group type = P4/mmm, No. 123
&SYSTEM
  ibrav = 0, nat = 5, ntyp = 4
/
ATOMIC_SPECIES
Cl 35.45 Cl.upf
Mn 54.94 Mn.upf
S 32.06 S.upf
Cu 63.55 Cu.upf
CELL_PARAMETERS angstrom
-0.7105 0.7283 -4.4581
-3.9576 -2.2761 0.2588
-2.2081 3.9527 0.9977
ATOMIC_POSITIONS angstrom
Cl -1.1041 1.9764 0.4988
Mn -3.4381 1.2025 -1.6008
S -1.9788 -1.1381 0.1294
S -0.3552 0.3642 -2.2291
Cu 0.0000 0.0000 0.0000



[7]
! Mn2CuSCl (PBE, optimized geometry); values from VASP
! Space-group type = P4/mmm, No. 123
&SYSTEM
  ibrav = 0, nat = 5, ntyp = 4
/
ATOMIC_SPECIES
S 32.06 S.upf
Cl 35.45 Cl.upf
Cu 63.55 Cu.upf
Mn 54.94 Mn.upf
CELL_PARAMETERS angstrom
4.8915 0.0000 0.0000
0.0000 4.2218 0.0000
0.0000 0.0000 4.8915
ATOMIC_POSITIONS angstrom
S 2.4457 2.1109 2.4457
Cl 0.0000 2.1109 0.0000
Cu 0.0000 0.0000 0.0000
Mn 2.4457 0.0000 0.0000
Mn 0.0000 0.0000 2.4457



[8]
! MnCuS2Cl (PBE, optimized geometry); values from VASP
! Space-group type = P4/mmm, No. 123
&SYSTEM
  ibrav = 0, nat = 5, ntyp = 4
/
ATOMIC_SPECIES
S 32.06 S.upf
Mn 54.94 Mn.upf
Cl 35.45 Cl.upf
Cu 63.55 Cu.upf
CELL_PARAMETERS angstrom
-2.4470 -3.7044 1.0591
3.8430 -2.2574 0.9836
-0.2863 1.4800 4.5153
ATOMIC_POSITIONS angstrom
S 1.9215 -1.1287 0.4918
S -1.2235 -1.8522 0.5295
Mn 0.0000 0.0000 0.0000
Cl -0.1432 0.7400 2.2576
Cu 0.5548 -2.2409 3.2790



[9]
! MnCuSnCl5 (PBE, optimized geometry); values from VASP
! Space-group type = C2/c, No. 15
&SYSTEM
  ibrav = 0, nat = 16, ntyp = 4
/
ATOMIC_SPECIES
Cl 35.45 Cl.upf
Mn 54.94 Mn.upf
Sn 118.71 Sn.upf
Cu 63.55 Cu.upf
CELL_PARAMETERS angstrom
6.9587 -0.0298 -0.0841
-2.0599 6.6469 -0.0841
-2.1477 -2.9009 8.6492
ATOMIC_POSITIONS angstrom
Cl -0.0859 0.8180 4.8046
Cl 4.5644 -1.6255 6.4028
Cl 2.8370 2.8981 3.6764
Cl 5.4476 1.7995 0.8685
Cl -2.6964 1.9166 7.6125
Cl 1.8813 1.6071 0.4800
Cl 3.6941 -0.5690 3.2879
Cl -1.8133 5.3416 2.0782
Cl 0.8699 2.1090 8.0011
Cl -0.9429 4.2851 5.1931
Mn -1.0738 -1.4505 4.3246
Mn 0.0000 0.0000 0.0000
Sn 2.2652 0.0767 6.4028
Sn 0.4859 3.6394 2.0782
Cu -0.8153 2.3573 6.4028
Cu 3.5665 1.3588 2.0782



[10]
! Mn2CuSnCl8 (PBE, optimized geometry); values from VASP
! Space-group type = P2/m, No. 10
&SYSTEM
  ibrav = 0, nat = 12, ntyp = 4
/
ATOMIC_SPECIES
Cl 35.45 Cl.upf
Sn 118.71 Sn.upf
Mn 54.94 Mn.upf
Cu 63.55 Cu.upf
CELL_PARAMETERS angstrom
6.2294 0.1098 -0.0051
0.1988 6.1068 -0.0079
0.0057 0.0091 7.6394
ATOMIC_POSITIONS angstrom
Cl 1.3678 4.8069 1.6801
Cl 5.0661 1.4187 5.9462
Cl 2.0592 1.8538 -0.0038
Cl 4.3027 4.2908 3.8106
Cl 1.3709 4.8120 5.9450
Cl 4.3747 4.3719 7.6302
Cl 5.0630 1.4136 1.6814
Cl 2.1312 1.9349 3.8158
Sn 0.0029 0.0045 3.8197
Mn 3.2184 3.1152 5.8371
Mn 3.2155 3.1105 1.7893
Cu 0.0000 0.0000 0.0000



[11]
! MnCu2SnCl8 (PBE, optimized geometry); values from VASP
! Space-group type = I-4m2, No. 119
&SYSTEM
  ibrav = 0, nat = 12, ntyp = 4
/
ATOMIC_SPECIES
Cu 63.55 Cu.upf
Cl 35.45 Cl.upf
Sn 118.71 Sn.upf
Mn 54.94 Mn.upf
CELL_PARAMETERS angstrom
-5.0885 1.5923 -4.8527
4.2376 -4.9360 -3.1074
-2.9058 -2.5209 6.0974
ATOMIC_POSITIONS angstrom
Cu -0.4255 -1.6719 -3.9800
Cu -4.2099 -1.3003 -1.3677
Cl 0.0081 -2.5748 -1.8692
Cl -4.1129 -3.3487 -2.2732
Cl -2.2275 -2.4913 -5.2210
Cl -2.5214 -0.5016 -0.1280
Cl -5.5824 -0.8572 0.3486
Cl -4.6228 -0.4935 -3.4181
Cl -3.4448 -2.0325 2.9999
Cl -1.8492 -4.6308 0.3650
Sn 0.0000 0.0000 0.0000
Mn 0.4532 -4.5644 -0.4950



[12]
! TaMn2CuCl (PBE, optimized geometry); values from VASP
! Space-group type = P4/mmm, No. 123
&SYSTEM
  ibrav = 0, nat = 5, ntyp = 4
/
ATOMIC_SPECIES
Cu 63.55 Cu.upf
Ta 180.95 Ta.upf
Cl 35.45 Cl.upf
Mn 54.94 Mn.upf
CELL_PARAMETERS angstrom
4.7861 0.0000 0.0000
0.0000 4.8834 0.0000
0.0000 0.0000 4.7861
ATOMIC_POSITIONS angstrom
Cu 0.0000 2.4417 0.0000
Ta 0.0000 0.0000 0.0000
Cl 2.3930 2.4417 2.3930
Mn 0.0000 0.0000 2.3930
Mn 2.3930 0.0000 0.0000



Values of ΔE_f (raw), in order: -102.0; -112.2; -85.3; -130.7; 47.1; 28.6; 60.1; 19.4; -80.2; -84.6; -66.4; 130.0, all in kJ per mole of atoms.